Record 1
4
Lattice="3.6556 0.0000 0.0000 1.8278 3.1658 0.0000 1.8278 1.0553 11.8251" Properties=species:S:1:pos:R:3 comment="Nd2HoI GGA-PBE optimized geometry" total_magnetization_mub_per_fu=0.4 e_above_lowest_polymorph_mev_per_atom=284 spacegroup=R-3m pbc="T T T"
I 3.6556 2.1106 5.9125
Nd 5.4834 3.1658 3.3458
Nd 1.8278 1.0553 8.4793
Ho 0.0000 0.0000 0.0000

---

Record 2
4
Lattice="4.1108 -0.0007 -0.0005 -2.0551 3.5606 0.0001 -2.0553 -1.1864 7.5582" Properties=species:S:1:pos:R:3 comment="NdHoPI GGA-PBE optimized geometry" total_magnetization_mub_per_fu=0.0 dft_energy_ha_per_atom=-0.1988 spacegroup=R3m pbc="T T T"
Nd 0.3882 -0.2604 5.0897
P -1.6671 0.9266 6.6870
I 2.4434 0.9262 2.6734
Ho -1.6666 3.3004 0.4362

---

Record 3
4
Lattice="4.1960 -0.0003 -0.0004 -2.0973 3.6334 0.0000 -2.0981 -1.2107 8.0284" Properties=species:S:1:pos:R:3 comment="NdHoPtI GGA-PBE optimized geometry" total_magnetization_mub_per_fu=0.0 dft_energy_ha_per_atom=-0.1963 spacegroup=R3m pbc="T T T"
Ho -1.7010 3.3671 0.4117
Nd 0.3963 -0.2654 5.4747
I 2.4941 0.9463 2.8731
Pt -1.7014 0.9454 7.0531

---

Q: Which formula does entry 3 have?
A: NdHoPtI